No. 1
A plane-wave DFT calculation with PBE was carried out for NdErCdHg after structural relaxation.

Calculated values
M_tot in μB/cell: 0.63
Distance to the lowest polymorph of the same formula in eV/atom: 0.0133
Energy of formation from the pure elements in eV per atom: -0.382

a b c (Å): 5.341 5.341 5.341
angles (deg): 60.00 60.00 60.00
Site moments in Bohr magnetons follow the coordinates.
Sites, in units of the cell vectors:
Hg1 0.250 0.250 0.250  0.02
Nd1 0.000 0.000 0.000  0.15
Cd1 0.750 0.750 0.750  0.01
Er1 0.500 0.500 0.500  0.21

---

No. 2
A plane-wave DFT calculation with PBE was carried out for NdErCdHg after structural relaxation.

Calculated values
M_tot in μB/cell: 0.55
Distance to the lowest polymorph of the same formula in eV/atom: 0.0000
Energy of formation from the pure elements in eV per atom: -0.395

a b c (Å): 3.726 3.726 7.741
angles (deg): 90.00 90.00 90.00
Site moments in Bohr magnetons follow the coordinates.
Sites, in units of the cell vectors:
Nd1 0.500 0.500 0.108  0.21
Hg1 0.000 0.000 0.380  0.01
Cd1 0.000 0.000 0.838  0.01
Er1 0.500 0.500 0.602  0.07

---

No. 3
A plane-wave DFT calculation with PBE was carried out for NdEr2CdHg4 after structural relaxation.

Calculated values
M_tot in μB/cell: 0.00
Energy of formation from the pure elements in eV per atom: -0.400

a b c (Å): 5.092 5.092 9.505
angles (deg): 74.46 74.46 60.00
Sites, in units of the cell vectors:
Er1 0.240 0.240 0.281
Er2 0.760 0.760 0.719
Hg1 0.876 0.876 0.372
Hg2 0.620 0.620 0.139
Hg3 0.124 0.124 0.628
Cd1 0.500 0.500 0.500
Nd1 0.000 0.000 0.000
Hg4 0.380 0.380 0.861

---

- The highest energy of formation from the pure elements belongs to which entry?
  number 1